1.
Computed, not measured: a geometry-optimized LiAl5Zn3 structure at the PBE-GGA level of DFT.

Results
The density of states at the Fermi level comes out at 0.321 states/eV/atom. The space group is No. 12. The calculated formation energy is 155 meV per atom. The total energy is -46.1 eV/cell.

a b c (Å): 5.631 5.631 11.110
angles (deg): 104.32 104.32 80.10
Positions (direct):
Li1 0.108 0.108 0.273
Li2 0.892 0.892 0.727
Al1 0.170 0.625 0.333
Al2 0.304 0.304 0.122
Al3 0.325 0.675 0.000
Al4 0.375 0.830 0.667
Al5 0.377 0.377 0.737
Al6 0.623 0.623 0.263
Al7 0.625 0.170 0.333
Al8 0.675 0.325 0.000
Al9 0.696 0.696 0.878
Al10 0.830 0.375 0.667
Zn1 0.000 0.000 0.000
Zn2 0.000 0.000 0.500
Zn3 0.195 0.195 0.871
Zn4 0.328 0.328 0.500
Zn5 0.672 0.672 0.500
Zn6 0.805 0.805 0.129

2.
Computed, not measured: a geometry-optimized LiAl2Zn structure at the PBE-GGA level of DFT.

Results
The density of states at the Fermi level comes out at 0.220 states/eV/atom. The space group is No. 166. The calculated formation energy is -51 meV per atom. The total energy is -10.9 eV/cell.

a b c (Å): 9.020 9.020 9.020
angles (deg): 18.63 18.63 18.63
Positions (direct):
Li1 0.000 0.000 0.000
Al1 0.249 0.249 0.249
Al2 0.751 0.751 0.751
Zn1 0.500 0.500 0.500

3.
Computed, not measured: a geometry-optimized LiAlZn11 structure at the PBE-GGA level of DFT.

Results
The density of states at the Fermi level comes out at 0.184 states/eV/atom. The space group is No. 12. The calculated formation energy is -14 meV per atom. The total energy is -19.9 eV/cell.

a b c (Å): 6.796 6.796 6.793
angles (deg): 98.40 98.40 134.56
Positions (direct):
Li1 0.000 0.000 0.000
Al1 0.000 0.000 0.500
Zn1 0.000 0.350 0.350
Zn2 0.000 0.500 0.000
Zn3 0.000 0.650 0.650
Zn4 0.285 0.501 0.785
Zn5 0.350 0.000 0.350
Zn6 0.499 0.715 0.215
Zn7 0.500 0.000 0.000
Zn8 0.500 0.500 0.500
Zn9 0.501 0.285 0.785
Zn10 0.650 0.000 0.650
Zn11 0.715 0.499 0.215

4.
Computed, not measured: a geometry-optimized LiAl2Zn structure at the PBE-GGA level of DFT.

Results
The density of states at the Fermi level comes out at 0.399 states/eV/atom. The space group is No. 122. The calculated formation energy is 172 meV per atom. The total energy is -20.0 eV/cell.

a b c (Å): 5.966 5.966 5.966
angles (deg): 101.26 101.26 127.56
Positions (direct):
Li1 0.000 0.000 0.000
Li2 0.750 0.250 0.500
Al1 0.164 0.625 0.039
Al2 0.375 0.414 0.539
Al3 0.586 0.125 0.961
Al4 0.875 0.836 0.461
Zn1 0.250 0.750 0.500
Zn2 0.500 0.500 0.000

5.
Computed, not measured: a geometry-optimized LiAl2Zn4 structure at the PBE-GGA level of DFT.

Results
The density of states at the Fermi level comes out at 0.382 states/eV/atom. The space group is No. 65. The calculated formation energy is 87 meV per atom. The total energy is -13.9 eV/cell.

a b c (Å): 10.422 10.422 4.159
angles (deg): 90.00 90.00 164.04
Positions (direct):
Li1 0.000 0.000 0.000
Al1 0.304 0.696 0.500
Al2 0.696 0.304 0.500
Zn1 0.077 0.923 0.500
Zn2 0.382 0.618 0.000
Zn3 0.618 0.382 0.000
Zn4 0.923 0.077 0.500

6.
Computed, not measured: a geometry-optimized Li3AlZn structure at the PBE-GGA level of DFT.

Results
The density of states at the Fermi level comes out at 0.312 states/eV/atom. The space group is No. 15. The calculated formation energy is -161 meV per atom. The total energy is -46.3 eV/cell.

a b c (Å): 6.865 6.865 7.658
angles (deg): 111.48 111.48 80.43
Positions (direct):
Li1 0.034 0.781 0.854
Li2 0.080 0.321 0.546
Li3 0.168 0.424 0.942
Li4 0.219 0.966 0.646
Li5 0.321 0.080 0.046
Li6 0.424 0.168 0.442
Li7 0.576 0.832 0.558
Li8 0.679 0.920 0.954
Li9 0.781 0.034 0.354
Li10 0.832 0.576 0.058
Li11 0.920 0.679 0.454
Li12 0.966 0.219 0.146
Al1 0.278 0.533 0.356
Al2 0.467 0.722 0.144
Al3 0.533 0.278 0.856
Al4 0.722 0.467 0.644
Zn1 0.130 0.870 0.250
Zn2 0.381 0.619 0.750
Zn3 0.619 0.381 0.250
Zn4 0.870 0.130 0.750

7.
Computed, not measured: a geometry-optimized Li12AlZn6 structure at the PBE-GGA level of DFT.

Results
The density of states at the Fermi level comes out at 0.326 states/eV/atom. The space group is No. 148. The calculated formation energy is -130 meV per atom. The total energy is -36.8 eV/cell.

a b c (Å): 6.822 6.822 6.822
angles (deg): 89.15 89.15 89.15
Positions (direct):
Li1 0.023 0.930 0.305
Li2 0.070 0.695 0.977
Li3 0.120 0.466 0.344
Li4 0.305 0.023 0.930
Li5 0.344 0.120 0.466
Li6 0.466 0.344 0.120
Li7 0.534 0.656 0.880
Li8 0.656 0.880 0.534
Li9 0.695 0.977 0.070
Li10 0.880 0.534 0.656
Li11 0.930 0.305 0.023
Li12 0.977 0.070 0.695
Al1 0.500 0.500 0.500
Zn1 0.229 0.759 0.612
Zn2 0.241 0.388 0.771
Zn3 0.388 0.771 0.241
Zn4 0.612 0.229 0.759
Zn5 0.759 0.612 0.229
Zn6 0.771 0.241 0.388

8.
Computed, not measured: a geometry-optimized Li2Al2Zn5 structure at the PBE-GGA level of DFT.

Results
The density of states at the Fermi level comes out at 0.269 states/eV/atom. The space group is No. 12. The calculated formation energy is -18 meV per atom. The total energy is -17.8 eV/cell.

a b c (Å): 6.537 6.537 6.985
angles (deg): 121.48 121.48 38.41
Positions (direct):
Li1 0.228 0.228 0.321
Li2 0.772 0.772 0.679
Al1 0.313 0.313 0.994
Al2 0.687 0.687 0.006
Zn1 0.040 0.040 0.741
Zn2 0.426 0.426 0.776
Zn3 0.500 0.500 0.500
Zn4 0.574 0.574 0.224
Zn5 0.960 0.960 0.259